# 1
# GGA-PBE K2LiW, relaxed
data_K2LiW
_chemical_formula_sum 'K8 Li4 W4'
_symmetry_space_group_name_H-M 'F m -3 m'
_symmetry_Int_Tables_number 225
_symmetry_space_group_name_Hall '-F 4 2 3'
_cell_length_a 8.484
_cell_length_b 8.484
_cell_length_c 8.484
_cell_angle_alpha 90.00
_cell_angle_beta 90.00
_cell_angle_gamma 90.00
loop_
_atom_site_label
_atom_site_type_symbol
_atom_site_fract_x
_atom_site_fract_y
_atom_site_fract_z
K1 K 0.250 0.250 0.250
Li1 Li 0.000 0.000 0.000
W1 W 0.000 0.000 0.500
# Density ... 2.9 Mg/m³
# M_tot ... 19.583 μB/cell
# ΔE_f ... 1.55 eV/atom

# 2
# GGA-PBE K3LiW, relaxed
data_K3LiW
_chemical_formula_sum 'K3 Li1 W1'
_symmetry_space_group_name_H-M 'P m -3 m'
_symmetry_Int_Tables_number 221
_symmetry_space_group_name_Hall '-P 4 2 3'
_cell_length_a 6.830
_cell_length_b 6.830
_cell_length_c 6.830
_cell_angle_alpha 90.00
_cell_angle_beta 90.00
_cell_angle_gamma 90.00
loop_
_atom_site_label
_atom_site_type_symbol
_atom_site_fract_x
_atom_site_fract_y
_atom_site_fract_z
K1 K 0.000 0.000 0.500
Li1 Li 0.500 0.500 0.500
W1 W 0.000 0.000 0.000
# Density ... 1.6 Mg/m³
# M_tot ... 5.827 μB/cell
# ΔE_f ... 1.41 eV/atom

# 3
# GGA-PBE KLi2W, relaxed
data_KLi2W
_chemical_formula_sum 'K1 Li2 W1'
_symmetry_space_group_name_H-M 'P 4 m m'
_symmetry_Int_Tables_number 99
_symmetry_space_group_name_Hall 'P 4 -2'
_cell_length_a 2.805
_cell_length_b 2.805
_cell_length_c 10.456
_cell_angle_alpha 90.00
_cell_angle_beta 90.00
_cell_angle_gamma 90.00
loop_
_atom_site_label
_atom_site_type_symbol
_atom_site_fract_x
_atom_site_fract_y
_atom_site_fract_z
K1 K 0.000 0.000 0.000
Li1 Li 0.000 0.000 0.528
Li2 Li 0.500 0.500 0.317
W1 W 0.500 0.500 0.719
# Density ... 4.8 Mg/m³
# M_tot ... 0.000 μB/cell
# ΔE_f ... 0.80 eV/atom

# 4
# GGA-PBE KLiW2, relaxed
data_KLiW2
_chemical_formula_sum 'K2 Li2 W4'
_symmetry_space_group_name_H-M 'C 1 2/m 1'
_symmetry_Int_Tables_number 12
_symmetry_space_group_name_Hall '-C 2y'
_cell_length_a 5.286
_cell_length_b 11.717
_cell_length_c 2.763
_cell_angle_alpha 90.00
_cell_angle_beta 113.38
_cell_angle_gamma 90.00
loop_
_atom_site_label
_atom_site_type_symbol
_atom_site_fract_x
_atom_site_fract_y
_atom_site_fract_z
K1 K 0.000 0.000 0.000
Li1 Li 0.000 0.500 0.000
W1 W 0.250 0.250 0.500
# Density ... 8.7 Mg/m³
# M_tot ... 0.000 μB/cell
# ΔE_f ... 1.15 eV/atom

no.,E above lowest polymorph (eV per atom)
1,0.424
2,0.000
3,0.028
4,0.408